The following is a DFT calculation (PBE-GGA) of crystalline LiFe2Si2 at its relaxed geometry.

Cell lengths 5.805, 5.805, 5.805 Å; angles 143.45, 143.45, 52.65 degrees
Element x y z (fractional)
1 Li 0.000 0.000 0.000
2 Fe 0.250 0.750 0.500
3 Fe 0.750 0.250 0.500
4 Si 0.387 0.387 0.000
5 Si 0.613 0.613 0.000

Computed properties:
E_form (uncorrected)	-0.22	eV per atom
total magnetization	2.902	Bohr magnetons per cell